## UCdSn (GGA-PBE)

Data for a relaxed structure of UCdSn. Values from VASP.

Summary:
The energy of formation from the pure elements comes out at 178 meV/atom. As for the total DFT energy (no corrections): -5.224 eV per atom. As for the space group: I4mm. As for the density of states at the Fermi level: 5.00 states/eV/f.u.

```
&SYSTEM
  ibrav = 0, nat = 3, ntyp = 3
/
ATOMIC_SPECIES
Sn 118.71 Sn.upf
U 238.03 U.upf
Cd 112.41 Cd.upf
CELL_PARAMETERS angstrom
-2.9983 -0.0157 -0.3466
0.2609 -2.0897 -2.1623
0.7663 -4.6843 6.7263
ATOMIC_POSITIONS crystal
Sn 0.6632 0.6632 0.3265
U 0.9998 0.9998 0.9996
Cd 0.3370 0.3370 0.6740
```